{"formula": "PdRuO2F", "functional": "PBE-GGA", "state": "relaxed", "lattice": [[4.0129, 0.0000, 0.0000], [0.0000, 4.0129, 0.0000], [0.0000, 0.0000, 4.0997]], "species": ["F", "Pd", "O", "O", "Ru"], "frac_coords": [[0.0000, 0.0000, 0.5000], [0.0000, 0.0000, 0.0000], [0.0000, 0.5000, 0.0000], [0.5000, 0.0000, 0.0000], [0.5000, 0.5000, 0.5000]], "crystal_system": "tetragonal", "sg": "P4/mmm, No. 123", "e_form_raw_ev_per_atom": 0.266}

---

{"formula": "Si2Mo3P4", "functional": "PBE-GGA", "state": "relaxed", "lattice": [[6.1433, 0.0000, 0.0000], [0.0000, 7.6754, -0.0343], [0.0000, 0.0538, 5.9953]], "species": ["Si", "Mo", "P", "Si", "P", "Mo", "P", "Mo", "Si", "P", "P", "P", "P", "Mo", "Mo", "Mo", "Si", "P"], "frac_coords": [[0.1596, 0.9781, 0.8736], [0.1708, 0.2379, 0.1767], [0.9636, 0.1908, 0.5226], [0.3404, 0.9781, 0.3736], [0.0364, 0.8092, 0.4774], [0.0000, 0.5000, 0.5000], [0.1324, 0.5090, 0.8727], [0.8292, 0.7621, 0.8233], [0.8404, 0.0219, 0.1264], [0.5364, 0.1908, 0.0226], [0.8676, 0.4910, 0.1273], [0.3676, 0.5090, 0.3727], [0.4636, 0.8092, 0.9774], [0.5000, 0.5000, 0.0000], [0.6708, 0.7621, 0.3233], [0.3292, 0.2379, 0.6767], [0.6596, 0.0219, 0.6264], [0.6324, 0.4910, 0.6273]], "crystal_system": "monoclinic", "sg": "P2_1/c, No. 14", "e_form_raw_ev_per_atom": -0.266}

---

{"formula": "Dy2TlV", "functional": "PBE-GGA", "state": "relaxed", "lattice": [[3.3495, 0.0000, 0.0000], [1.6747, 2.9007, 0.0000], [1.6747, 0.9669, 11.0271]], "species": ["Dy", "Tl", "Dy", "V"], "frac_coords": [[0.0852, 0.0852, 0.7443], [0.5000, 0.5000, 0.5000], [0.9148, 0.9148, 0.2557], [0.0000, 0.0000, 0.0000]], "crystal_system": "trigonal", "sg": "R-3m, No. 166"}

---

{"formula": "KZnFe2", "functional": "PBE-GGA", "state": "relaxed", "lattice": [[4.6737, 0.0000, 0.0000], [0.0000, 4.6737, 0.0000], [2.3369, 2.3369, 8.9866]], "species": ["Fe", "Fe", "Fe", "Zn", "Fe", "K", "K", "Zn"], "frac_coords": [[0.8746, 0.1250, 0.2500], [0.8754, 0.6250, 0.2500], [0.3750, 0.1254, 0.7500], [0.7500, 0.2500, 0.5000], [0.8750, 0.1246, 0.7500], [0.2500, 0.7500, 0.5000], [0.5000, 0.5000, 0.0000], [0.0000, 0.0000, 0.0000]], "crystal_system": "tetragonal", "sg": "I4_1/amd, No. 141"}

---

{"formula": "ZnPtAu2", "functional": "PBE-GGA", "state": "relaxed", "lattice": [[-2.3755, -2.7268, -3.3450], [-0.1113, -4.6729, 1.5553], [-1.2442, 4.2132, 2.2291]], "species": ["Au", "Au", "Pt", "Zn"], "frac_coords": [[0.0007, 0.0007, 0.0000], [0.7499, 0.2499, 0.5000], [0.4991, 0.4991, 0.0000], [0.2503, 0.7503, 0.5000]], "crystal_system": "orthorhombic", "sg": "Imm2, No. 44"}

---

{"formula": "Rb2TlHgBi2", "functional": "PBE-GGA", "state": "relaxed", "lattice": [[7.5810, 0.0000, 0.0000], [0.0000, 7.5361, 0.0000], [-3.7905, -3.7680, 8.4553]], "species": ["Rb", "Bi", "Rb", "Tl", "Hg", "Bi", "Rb", "Rb", "Hg", "Bi", "Tl", "Bi"], "frac_coords": [[0.8378, 0.5849, 0.6756], [0.3980, 0.6385, 0.7959], [0.3378, 0.0907, 0.6756], [0.7500, 0.0000, 0.0000], [0.2500, 0.5000, 0.0000], [0.6020, 0.3615, 0.2041], [0.1622, 0.4151, 0.3244], [0.6622, 0.9093, 0.3244], [0.7500, 0.5000, 0.0000], [0.1020, 0.8426, 0.2041], [0.2500, 0.0000, 0.0000], [0.8980, 0.1574, 0.7959]], "crystal_system": "orthorhombic", "sg": "Ibam, No. 72"}

---

{"formula": "NdAsPt", "functional": "PBE-GGA", "state": "relaxed", "lattice": [[-3.0498, -0.6371, 2.5813], [-1.9834, -2.0708, -2.8545], [4.3784, -2.2390, 1.4495]], "species": ["Pt", "Nd", "As"], "frac_coords": [[0.9263, 0.9263, 0.8526], [0.2909, 0.2909, 0.5818], [0.6328, 0.6328, 0.2656]], "crystal_system": "tetragonal", "sg": "I4mm, No. 107"}

---

{"formula": "HoTh2ScP4", "functional": "PBE-GGA", "state": "relaxed", "lattice": [[4.0394, 0.0000, 0.0000], [0.0000, 6.8971, -0.0972], [0.0000, 2.4650, 6.5460]], "species": ["Sc", "P", "Th", "Ho", "P", "Th", "P", "P"], "frac_coords": [[0.5000, 0.5000, 0.0000], [0.0000, 0.2678, 0.2386], [0.0000, 0.0000, 0.0000], [0.0000, 0.5000, 0.5000], [0.0000, 0.7322, 0.7614], [0.5000, 0.0000, 0.5000], [0.5000, 0.7361, 0.2495], [0.5000, 0.2639, 0.7505]], "crystal_system": "monoclinic", "sg": "P2/m, No. 10"}

---

{"formula": "Mg2Co", "functional": "PBE-GGA", "state": "relaxed", "lattice": [[-3.9360, -1.5945, 0.8363], [1.7207, -1.6414, 4.9689], [-2.2478, 7.2051, 3.1585]], "species": ["Co", "Mg", "Mg", "Co", "Mg", "Mg", "Mg", "Co", "Mg", "Mg", "Mg", "Co"], "frac_coords": [[0.2500, 0.6735, 0.3878], [0.7500, 0.3298, 0.9373], [0.2500, 0.1702, 0.4373], [0.7500, 0.8265, 0.8878], [0.2500, 0.6702, 0.0627], [0.2500, 0.0580, 0.7902], [0.2500, 0.5580, 0.7098], [0.7500, 0.3265, 0.6122], [0.7500, 0.9420, 0.2098], [0.7500, 0.8298, 0.5627], [0.7500, 0.4420, 0.2902], [0.2500, 0.1735, 0.1122]], "crystal_system": "orthorhombic", "sg": "Pnma, No. 62"}

---

{"formula": "Mg3Sn5Cl16", "functional": "PBE-GGA", "state": "relaxed", "lattice": [[-1.5709, -7.0044, -3.8399], [3.8529, -2.2146, -6.8209], [9.2121, -5.5366, 7.8651]], "species": ["Cl", "Mg", "Cl", "Sn", "Cl", "Sn", "Cl", "Sn", "Cl", "Cl", "Cl", "Cl", "Cl", "Sn", "Cl", "Cl", "Mg", "Cl", "Cl", "Cl", "Sn", "Cl", "Cl", "Mg"], "frac_coords": [[0.9771, 0.5298, 0.6671], [0.1602, 0.6627, 0.2906], [0.6973, 0.6973, 0.8964], [0.6770, 0.6770, 0.5296], [0.0322, 0.5165, 0.1617], [0.3383, 0.3383, 0.0406], [0.8440, 0.8440, 0.3816], [0.8299, 0.3266, 0.7897], [0.1519, 0.1519, 0.9211], [0.5298, 0.9771, 0.6671], [0.9811, 0.9811, 0.1835], [0.5165, 0.0322, 0.1617], [0.5198, 0.5198, 0.6336], [0.3266, 0.8299, 0.7897], [0.4832, 0.4832, 0.1837], [0.6805, 0.1506, 0.8854], [0.6627, 0.1602, 0.2906], [0.3500, 0.3500, 0.3878], [0.1506, 0.6805, 0.8854], [0.8251, 0.3045, 0.3953], [0.1514, 0.1514, 0.2884], [0.9772, 0.9772, 0.6745], [0.3045, 0.8251, 0.3953], [0.8332, 0.8332, 0.7841]], "crystal_system": "monoclinic", "sg": "Cm, No. 8", "e_form_raw_ev_per_atom": -1.292}

---

{"formula": "Sc2TlPt", "functional": "PBE-GGA", "state": "relaxed", "lattice": [[-2.1138, 1.1654, 2.4158], [-0.4473, -3.1356, 1.1212], [5.1401, -2.3288, 5.6209]], "species": ["Tl", "Sc", "Sc", "Pt"], "frac_coords": [[0.5000, 0.2500, 0.2500], [0.0000, 0.0323, 0.9672], [0.0000, 0.4677, 0.5328], [0.5000, 0.7500, 0.7500]], "crystal_system": "orthorhombic", "sg": "Pmmm, No. 47"}

---

{"formula": "ZrRuSe2", "functional": "PBE-GGA", "state": "relaxed", "lattice": [[5.8161, 0.0000, 0.0000], [0.0000, 5.8161, 0.0000], [2.9081, 2.9081, 5.7217]], "species": ["Se", "Ru", "Zr", "Se", "Se", "Zr", "Ru", "Se"], "frac_coords": [[0.0958, 0.6250, 0.2500], [0.7500, 0.2500, 0.5000], [0.5000, 0.5000, 0.0000], [0.6542, 0.1250, 0.2500], [0.3750, 0.3458, 0.7500], [0.2500, 0.7500, 0.5000], [0.0000, 0.0000, 0.0000], [0.8750, 0.9042, 0.7500]], "crystal_system": "tetragonal", "sg": "I-42d, No. 122", "e_form_raw_ev_per_atom": -0.281}

---

{"formula": "LiPm3Pt2", "functional": "PBE-GGA", "state": "relaxed", "lattice": [[6.7750, 0.0000, 0.0000], [0.0000, 7.4108, 0.0000], [-3.3875, -3.7054, 6.5789]], "species": ["Pt", "Li", "Pm", "Pt", "Pm", "Pt", "Li", "Pt", "Pm", "Pm", "Pm", "Pm"], "frac_coords": [[0.1579, 0.8609, 0.7219], [0.0000, 0.5000, 0.0000], [0.2172, 0.9672, 0.4344], [0.5640, 0.3609, 0.7219], [0.7828, 0.5328, 0.5656], [0.8421, 0.1391, 0.2781], [0.0000, 0.0000, 0.0000], [0.4360, 0.6391, 0.2781], [0.2172, 0.4672, 0.4344], [0.5000, 0.7500, 0.0000], [0.5000, 0.2500, 0.0000], [0.7828, 0.0328, 0.5656]], "crystal_system": "orthorhombic", "sg": "Ibam, No. 72"}

---

{"formula": "Pr3Tl3In", "functional": "PBE-GGA", "state": "relaxed", "lattice": [[5.4735, 0.0000, 0.0000], [0.0000, 9.4431, 0.0000], [0.0000, -4.7216, 8.1780]], "species": ["In", "Tl", "Tl", "Pr", "Tl", "In", "Pr", "Pr", "Pr", "Tl", "Pr", "Pr", "Tl", "Tl"], "frac_coords": [[0.7500, 0.3333, 0.6667], [0.7500, 0.7620, 0.9496], [0.2500, 0.8124, 0.7620], [0.7500, 0.9009, 0.3509], [0.7500, 0.1876, 0.2380], [0.2500, 0.6667, 0.3333], [0.2500, 0.5500, 0.9009], [0.7500, 0.6491, 0.5500], [0.2500, 0.0991, 0.6491], [0.2500, 0.9496, 0.1876], [0.7500, 0.4500, 0.0991], [0.2500, 0.3509, 0.4500], [0.2500, 0.2380, 0.0504], [0.7500, 0.0504, 0.8124]], "crystal_system": "hexagonal", "sg": "P6_3/m, No. 176"}

---

{"formula": "PaGaB", "functional": "PBE-GGA", "state": "relaxed", "lattice": [[3.1304, 0.0000, 0.0000], [0.0000, 3.6258, 0.0000], [0.0000, 1.8129, 9.3140]], "species": ["B", "Pa", "B", "Ga", "Pa", "Ga"], "frac_coords": [[0.2500, 0.5203, 0.9594], [0.7500, 0.0859, 0.8283], [0.7500, 0.4797, 0.0406], [0.2500, 0.2814, 0.4373], [0.2500, 0.9141, 0.1717], [0.7500, 0.7186, 0.5627]], "crystal_system": "orthorhombic", "sg": "Cmcm, No. 63"}

---

{"formula": "ScAl2Hg", "functional": "PBE-GGA", "state": "relaxed", "lattice": [[3.2747, 0.0000, 0.0000], [0.0000, 3.9478, 0.0000], [0.0000, 0.0000, 6.0143]], "species": ["Al", "Sc", "Al", "Hg"], "frac_coords": [[0.0000, 0.0000, 0.0169], [0.5000, 0.5000, 0.7570], [0.5000, 0.5000, 0.2357], [0.0000, 0.0000, 0.4903]], "crystal_system": "orthorhombic", "sg": "Pmm2, No. 25"}

---

{"formula": "PmNdBr6", "functional": "PBE-GGA", "state": "relaxed", "lattice": [[-1.0929, -7.0424, -1.0232], [6.3216, 0.6659, -4.1225], [-0.0383, -0.0469, 7.5761]], "species": ["Br", "Br", "Nd", "Pm", "Br", "Br", "Br", "Br"], "frac_coords": [[0.7523, 0.8977, 0.6043], [0.2477, 0.3957, 0.1023], [0.5000, 0.5000, 0.5000], [0.0000, 0.0000, 0.0000], [0.7494, 0.2477, 0.2477], [0.7523, 0.6043, 0.8977], [0.2506, 0.7523, 0.7523], [0.2477, 0.1023, 0.3957]], "crystal_system": "monoclinic", "sg": "C2/m, No. 12", "e_form_raw_ev_per_atom": -1.842}

---

{"formula": "KHoHgCl6", "functional": "PBE-GGA", "state": "relaxed", "lattice": [[-3.3137, 6.0265, -1.1608], [-0.9733, -3.4150, 6.0031], [10.5769, 6.9023, 5.6413]], "species": ["Cl", "K", "Cl", "Cl", "Hg", "Cl", "Cl", "Ho", "Hg", "Cl", "K", "Cl", "Cl", "Ho", "Cl", "Cl", "Cl", "Cl"], "frac_coords": [[0.3665, 0.9916, 0.6392], [0.0000, 0.0000, 0.0000], [0.9916, 0.6251, 0.3608], [0.0084, 0.6335, 0.8608], [0.6667, 0.3333, 0.7500], [0.6251, 0.6335, 0.6392], [0.6335, 0.0084, 0.3608], [0.6667, 0.3333, 0.2500], [0.3333, 0.6667, 0.2500], [0.9916, 0.3665, 0.1392], [0.0000, 0.0000, 0.5000], [0.3749, 0.3665, 0.3608], [0.3665, 0.3749, 0.8608], [0.3333, 0.6667, 0.7500], [0.0084, 0.3749, 0.6392], [0.6335, 0.6251, 0.1392], [0.3749, 0.0084, 0.1392], [0.6251, 0.9916, 0.8608]], "crystal_system": "trigonal", "sg": "P-31c, No. 163", "e_form_raw_ev_per_atom": -1.660}

---

{"formula": "Rb2Sc2TiSe6", "functional": "PBE-GGA", "state": "relaxed", "lattice": [[6.6905, -0.0125, 0.0420], [-3.3177, 5.8100, 0.0420], [-1.2199, -2.0969, 8.1404]], "species": ["Se", "Sc", "Se", "Sc", "Se", "Rb", "Se", "Se", "Ti", "Rb", "Se"], "frac_coords": [[0.0659, 0.3835, 0.6832], [0.6676, 0.3324, 0.5000], [0.7418, 0.7418, 0.6816], [0.3324, 0.6676, 0.5000], [0.2582, 0.2582, 0.3184], [0.8304, 0.1696, 0.0000], [0.3835, 0.0659, 0.6832], [0.6165, 0.9341, 0.3168], [0.0000, 0.0000, 0.5000], [0.1696, 0.8304, 0.0000], [0.9341, 0.6165, 0.3168]], "crystal_system": "monoclinic", "sg": "C2/m, No. 12", "e_form_raw_ev_per_atom": -1.469}

---

{"formula": "CdNiCl2", "functional": "PBE-GGA", "state": "relaxed", "lattice": [[3.8340, -0.2305, 0.0000], [-2.2229, 3.1323, 0.0000], [0.0000, 0.0000, 8.8166]], "species": ["Cd", "Cl", "Cl", "Ni"], "frac_coords": [[0.5000, 0.5000, 0.7268], [0.5000, 0.5000, 0.3389], [0.0000, 0.0000, 0.9403], [0.0000, 0.0000, 0.4939]], "crystal_system": "orthorhombic", "sg": "Cmm2, No. 35", "e_form_raw_ev_per_atom": -0.285}

---

{"formula": "FeAs4P", "functional": "PBE-GGA", "state": "relaxed", "lattice": [[0.0000, 3.8511, 3.8511], [3.8511, 0.0000, 3.8511], [3.8511, 3.8511, 0.0000]], "species": ["As", "Fe", "As", "As", "P", "As"], "frac_coords": [[0.3751, 0.8748, 0.3751], [0.7500, 0.7500, 0.7500], [0.3751, 0.3751, 0.3751], [0.8748, 0.3751, 0.3751], [0.0000, 0.0000, 0.0000], [0.3751, 0.3751, 0.8748]], "crystal_system": "cubic", "sg": "F-43m, No. 216"}

---

{"formula": "FeBrCl2", "functional": "PBE-GGA", "state": "relaxed", "lattice": [[-3.6585, -4.8812, 3.0538], [3.0278, -6.0330, 0.9860], [-0.7813, 6.6834, 1.1219]], "species": ["Br", "Fe", "Cl", "Cl"], "frac_coords": [[0.2500, 0.7500, 0.5000], [0.7500, 0.2500, 0.5000], [0.6043, 0.6043, 0.0000], [0.8957, 0.8957, 0.0000]], "crystal_system": "orthorhombic", "sg": "Immm, No. 71", "e_form_raw_ev_per_atom": -0.334}

---

{"formula": "IrRu", "functional": "PBE-GGA", "state": "relaxed", "lattice": [[2.7139, 0.0000, 0.0000], [1.3569, 2.3503, 0.0000], [1.3569, 0.7834, 4.4538]], "species": ["Ir", "Ru"], "frac_coords": [[0.0000, 0.0000, 0.0000], [0.5000, 0.5000, 0.5000]], "crystal_system": "trigonal", "sg": "R-3m, No. 166"}

---

| no. | calculated volume (Å³ per cell) | energy (eV per cell) |
| --- | --- | --- |
| 1 | 66 | -24.93 |
| 2 | 283 | -134.75 |
| 3 | 107 | -18.59 |
| 4 | 196 | -31.45 |
| 5 | 66 | -14.64 |
| 6 | 483 | -27.90 |
| 7 | 70 | -17.68 |
| 8 | 183 | -59.62 |
| 9 | 195 | -39.27 |
| 10 | 743 | -85.36 |
| 11 | 83 | -24.09 |
| 12 | 194 | -51.84 |
| 13 | 330 | -65.76 |
| 14 | 423 | -52.61 |
| 15 | 106 | -39.89 |
| 16 | 78 | -14.85 |
| 17 | 331 | -34.29 |
| 18 | 583 | -63.99 |
| 19 | 317 | -59.56 |
| 20 | 101 | -11.53 |
| 21 | 114 | -27.30 |
| 22 | 117 | -15.17 |
| 23 | 28 | -18.16 |